1.
Computed, not measured: a relaxed Na2InGeH crystal at the GGA-PBE level of DFT.

Lattice parameters (Å, degrees): 4.335 4.335 5.095 90.00 90.00 90.00
Fractional coordinates of all 5 atoms:
1 Na 0.000 0.500 0.000
2 Na 0.500 0.000 0.000
3 Ge 0.500 0.500 0.500
4 H 0.000 0.000 0.000
5 In 0.000 0.000 0.500

Results
offset from the most stable computed form: 0.0 meV per atom
symmetry: No. 123
M_tot: 0.00 Bohr magnetons per cell

=====

2.
Computed, not measured: a relaxed In2FeTe2 crystal at the GGA-PBE level of DFT.

Lattice parameters (Å, degrees): 6.738 6.738 6.236 90.00 90.00 90.00
Fractional coordinates of all 10 atoms:
1 Te 0.343 0.843 0.000
2 Te 0.843 0.657 0.000
3 Te 0.657 0.157 0.000
4 Te 0.157 0.343 0.000
5 Fe 0.000 0.000 0.000
6 Fe 0.500 0.500 0.000
7 In 0.203 0.703 0.500
8 In 0.703 0.797 0.500
9 In 0.797 0.297 0.500
10 In 0.297 0.203 0.500

Results
offset from the most stable computed form: 0.0 meV per atom
symmetry: No. 127
uncorrected formation energy: 0.1560 eV per atom
M_tot: 4.61 Bohr magnetons per cell

=====

3.
Computed, not measured: a relaxed TaNbZnO6 crystal at the GGA-PBE level of DFT.

Lattice parameters (Å, degrees): 5.245 5.245 9.104 90.00 90.00 120.00
Fractional coordinates of all 18 atoms:
1 Ta 0.333 0.667 0.250
2 Ta 0.667 0.333 0.750
3 Nb 0.667 0.333 0.250
4 Nb 0.333 0.667 0.750
5 Zn 0.000 0.000 0.000
6 Zn 0.000 0.000 0.500
7 O 0.648 0.651 0.133
8 O 0.002 0.352 0.133
9 O 0.352 0.002 0.633
10 O 0.998 0.648 0.867
11 O 0.349 0.352 0.367
12 O 0.002 0.651 0.367
13 O 0.651 0.002 0.867
14 O 0.648 0.998 0.367
15 O 0.998 0.349 0.633
16 O 0.349 0.998 0.133
17 O 0.651 0.648 0.633
18 O 0.352 0.349 0.867

Results
symmetry: No. 163
uncorrected formation energy: -2.3284 eV per atom
M_tot: 0.00 Bohr magnetons per cell